Density functional theory data (PBE) for a geometry-optimized AlTe2Au structure.

Unit cell a=5.125 b=5.125 c=5.125 alpha=60.00 beta=60.00 gamma=60.00
Fractional positions:
Al 0.500 0.500 0.500
Te 0.750 0.750 0.750
Te 0.000 0.000 0.000
Au 0.250 0.250 0.250

Summary:
* total DFT energy (no corrections): -12.2 eV per cell